(1)
KNp2I8 | PBE-GGA | relaxed

## Properties
V	55.74	Å³ per atom
density	4.14	g/cm³
E above lowest polymorph	0	meV per atom
crystal system	trigonal
magnetization	0.636	μB/atom
raw formation energy	-78.2	kJ/mol of atoms

Cell: 10.7144 10.7144 6.1673 Å, 90.00 90.00 120.00°
Space group P-3 (No. 147)
Asymmetric unit:
K  0.0000  0.0000  0.0000 (multiplicity 1)
Np  0.3333  0.6667  0.2474 (multiplicity 2)
I  0.1740  0.3508  0.2612 (multiplicity 6)
I  0.3333  0.6667  0.7574 (multiplicity 2)

***

(2)
KNp2I8 | PBE-GGA | relaxed

## Properties
V	61.99	Å³ per atom
density	3.72	g/cm³
E above lowest polymorph	28	meV per atom
crystal system	monoclinic
magnetization	0.636	μB/atom
raw formation energy	-75.4	kJ/mol of atoms

Cell: 16.653 9.725 8.585 Å, 90.00 101.20 90.00°
Space group C2/m (No. 12)
Asymmetric unit:
K  0.000  0.000  0.000 (multiplicity 2)
Np  0.188  0.000  0.655 (multiplicity 4)
I  0.099  0.230  0.760 (multiplicity 8)
I  0.141  0.500  0.195 (multiplicity 4)
I  0.181  0.000  0.311 (multiplicity 4)